(1)
First-principles (PBE-GGA) data for an optimized crystal structure of AsS2Cl2, as listed in Alexandria via LeMat-Bulk.

a = 6.189 Å, b = 5.604 Å, c = 6.934 Å
α = 68.12°, β = 69.06°, γ = 94.30°
Site moments in Bohr magnetons follow the coordinates.
Atoms (fractional coordinates):
As (0.379, 0.986, 0.060)  0.01
Cl (0.330, 0.988, 0.761)  0.00
Cl (0.034, 0.061, 0.247)  0.04
S (0.640, 0.537, 0.082)  0.34
S (0.617, 0.428, 0.851)  0.22

Summary:
The value obtained for the formation energy from raw total energies is -0.237 eV/atom. Its space group is No. 1.

=====

(2)
First-principles (PBE-GGA) data for an optimized crystal structure of Ac6GeRu, as listed in Alexandria via LeMat-Bulk.

a = 7.458 Å, b = 7.750 Å, c = 7.206 Å
α = 57.47°, β = 81.19°, γ = 73.45°
Atoms (fractional coordinates):
Ac (0.249, 0.874, 0.670)
Ac (0.751, 0.456, 0.670)
Ac (0.751, 0.126, 0.330)
Ac (0.719, 0.762, 0.000)
Ac (0.249, 0.544, 0.330)
Ac (0.281, 0.238, 0.000)
Ge (0.000, 0.000, 0.000)
Ru (0.500, 0.500, 0.000)

Summary:
The calculation puts the density of states at the Fermi level at 1.3849 states/eV/atom. The value obtained for the formation energy is -0.1442 eV per atom. Its space group is No. 12.